An optimized crystal structure of Pm2AlCdAu6, computed with PBE.

Cell lengths 5.3070, 5.8352, 7.6832 Å; angles 97.24, 106.53, 101.86 degrees
Closest atoms and distances in Å follow each position.
Space group P-1 (No. 2)
Inequivalent atoms, fractional coordinates:
1 Pm 0.0467 0.2766 0.2045 (multiplicity 2)  8 Au 3.02-3.35, 1 Cd 3.37
2 Al 0.5000 0.0000 0.5000 (multiplicity 1)  6 Au 2.54-2.65
3 Cd 0.5000 0.5000 0.0000 (multiplicity 1)  6 Au 2.81-3.11
4 Au 0.0254 0.1949 0.6695 (multiplicity 2)  1 Al 2.65, 1 Au 2.79
5 Au 0.3424 0.5944 0.5989 (multiplicity 2)  1 Al 2.62, 3 Au 2.79-2.93
6 Au 0.4314 0.9360 0.1552 (multiplicity 2)  1 Al 2.54, 1 Cd 2.81, 1 Au 2.83

Calculated values
Calculated volume   219 Å³ per cell
Formation energy   -0.51 eV per atom
Total DFT energy (no corrections)   -3.89 eV per atom

An optimized crystal structure of Pm2Al3CdAu4, computed with PBE.

Cell lengths 4.4374, 4.4374, 10.7812 Å; angles 90.00, 90.00, 90.00 degrees
Closest atoms and distances in Å follow each position.
Space group P-4m2 (No. 115)
Inequivalent atoms, fractional coordinates:
1 Pm 0.0000 0.5000 0.2433 (multiplicity 2)  8 Au 3.35-3.44, 6 Al 3.39-3.55, 2 Cd 3.55
2 Al 0.0000 0.5000 0.8760 (multiplicity 2)  5 Au 2.47-2.59
3 Al 0.5000 0.5000 0.5000 (multiplicity 1)  4 Au 2.73
4 Cd 0.0000 0.0000 0.5000 (multiplicity 1)  4 Au 2.73
5 Au 0.0000 0.0000 0.0000 (multiplicity 1)  4 Al 2.59
6 Au 0.0000 0.5000 0.6473 (multiplicity 2)  3 Al 2.47-2.73, 2 Cd 2.73
7 Au 0.5000 0.5000 0.0000 (multiplicity 1)  4 Al 2.59

Calculated values
Calculated volume   212 Å³ per cell
Formation energy   -0.64 eV per atom
Total DFT energy (no corrections)   -4.12 eV per atom

An optimized crystal structure of Pm2Al4CdAu3, computed with PBE.

Cell lengths 4.3858, 4.3858, 10.7866 Å; angles 90.00, 90.00, 90.00 degrees
Closest atoms and distances in Å follow each position.
Space group P-4m2 (No. 115)
Inequivalent atoms, fractional coordinates:
1 Pm 0.0000 0.5000 0.2460 (multiplicity 2)  8 Al 3.32-3.44, 6 Au 3.36-3.51, 2 Cd 3.51
2 Al 0.0000 0.0000 0.0000 (multiplicity 1)  4 Au 2.58
3 Al 0.0000 0.5000 0.6430 (multiplicity 2)  3 Au 2.49-2.68, 2 Cd 2.68
4 Al 0.5000 0.5000 0.0000 (multiplicity 1)  4 Au 2.58
5 Cd 0.0000 0.0000 0.5000 (multiplicity 1)  4 Al 2.68
6 Au 0.0000 0.5000 0.8734 (multiplicity 2)  5 Al 2.49-2.58
7 Au 0.5000 0.5000 0.5000 (multiplicity 1)  4 Al 2.68

Calculated values
Calculated volume   207 Å³ per cell
Formation energy   -0.65 eV per atom
Total DFT energy (no corrections)   -4.17 eV per atom

- Which of these has the lowest calculated volume?
  Pm2Al4CdAu3

- The highest formation energy belongs to which entry?
  Pm2AlCdAu6

- Among the records above, which one has the highest total DFT energy (no corrections)?
  Pm2AlCdAu6